Compound: Co8TeAs2O16
Source: OQMD via LeMat-Bulk
Functional: PBE+U
Structure: optimized geometry

Its total energy is -6.034 eV/atom. The space-group type is Cmce, No. 64.

abc: 12.2194 12.2194 8.4826
angles: 90.00 90.00 151.51
With the nearest neighbours (Å) after each atom.
Atoms (fractional coordinates):
Co  0.0566  0.4434  0.7500  6 O 2.06-2.14
Co  0.0582  0.9418  0.8731  4 O 1.95-2.00
Co  0.1354  0.8646  0.5256  6 O 2.04-2.24
Co  0.1762  0.3238  0.7500  6 O 2.02-2.21
Co  0.3238  0.1762  0.2500  6 O 2.02-2.21
Co  0.3646  0.6354  0.0256  6 O 2.04-2.24
Co  0.4418  0.5582  0.3731  4 O 1.95-2.00
Co  0.4434  0.0566  0.2500  6 O 2.06-2.14
Co  0.5566  0.9434  0.7500  6 O 2.06-2.14
Co  0.5582  0.4418  0.6269  4 O 1.95-2.00
Co  0.6354  0.3646  0.9744  6 O 2.04-2.24
Co  0.6762  0.8238  0.7500  6 O 2.02-2.21
Co  0.8238  0.6762  0.2500  6 O 2.02-2.21
Co  0.8646  0.1354  0.4744  6 O 2.04-2.24
Co  0.9418  0.0582  0.1269  4 O 1.95-2.00
Co  0.9434  0.5566  0.2500  6 O 2.06-2.14
Te  0.0000  0.0000  0.5000  6 O 1.95-1.96
Te  0.5000  0.5000  0.0000  6 O 1.95-1.96
As  0.1906  0.8094  0.8914  4 O 1.71-1.75
As  0.3094  0.6906  0.3914  4 O 1.71-1.75
As  0.6906  0.3094  0.6086  4 O 1.71-1.75
As  0.8094  0.1906  0.1086  4 O 1.71-1.75
O  0.0090  0.9910  0.2701  1 Te 1.96, 3 Co 2.00-2.16
O  0.0464  0.4207  0.9929  1 As 1.72
O  0.0793  0.4536  0.5071  1 As 1.72
O  0.1299  0.8701  0.2809  5 Co 2.02-2.14
O  0.1313  0.8687  0.7681  1 As 1.75, 1 Co 1.95
O  0.1630  0.2826  0.4937  1 Te 1.95, 1 Co 1.96
O  0.2174  0.3370  0.0063  1 Te 1.95, 1 Co 1.96
O  0.2473  0.7527  0.7675  1 As 1.71
O  0.2527  0.7473  0.2675  1 As 1.71
O  0.2826  0.1630  0.5063  1 Te 1.95, 1 Co 1.96
O  0.3370  0.2174  0.9937  1 Te 1.95, 1 Co 1.96
O  0.3687  0.6313  0.2681  1 As 1.75, 1 Co 1.95
O  0.3701  0.6299  0.7809  5 Co 2.02-2.14
O  0.4207  0.0464  0.0071  1 As 1.72
O  0.4536  0.0793  0.4929  1 As 1.72
O  0.4910  0.5090  0.7701  1 Te 1.96, 3 Co 2.00-2.16
O  0.5090  0.4910  0.2299  1 Te 1.96, 3 Co 2.00-2.16
O  0.5464  0.9207  0.5071  1 As 1.72
O  0.5793  0.9536  0.9929  1 As 1.72
O  0.6299  0.3701  0.2191  5 Co 2.02-2.14
O  0.6313  0.3687  0.7319  1 As 1.75, 1 Co 1.95
O  0.6630  0.7826  0.0063  1 Te 1.95, 1 Co 1.96
O  0.7174  0.8370  0.4937  1 Te 1.95, 1 Co 1.96
O  0.7473  0.2527  0.7325  1 As 1.71
O  0.7527  0.2473  0.2325  1 As 1.71
O  0.7826  0.6630  0.9937  1 Te 1.95, 1 Co 1.96
O  0.8370  0.7174  0.5063  1 Te 1.95, 1 Co 1.96
O  0.8687  0.1313  0.2319  1 As 1.75, 1 Co 1.95
O  0.8701  0.1299  0.7191  5 Co 2.02-2.14
O  0.9207  0.5464  0.4929  1 As 1.72
O  0.9536  0.5793  0.0071  1 As 1.72
O  0.9910  0.0090  0.7299  1 Te 1.96, 3 Co 2.00-2.16